1.
# Re2Hg

A relaxed structure of Re2Hg (PBE, Alexandria via LeMat-Bulk).

Cell and atoms, written as CIF:
```
data_Re2Hg
_symmetry_space_group_name_H-M 'P n m a'
_symmetry_Int_Tables_number 62
_cell_length_a 5.600
_cell_length_b 4.118
_cell_length_c 9.030
_cell_angle_alpha 90.00
_cell_angle_beta 90.00
_cell_angle_gamma 90.00
loop_
_symmetry_equiv_pos_as_xyz
'x,y,z'
'-x,-y,-z'
'-x+1/2,-y,z+1/2'
'x+1/2,y,-z+1/2'
'x+1/2,-y+1/2,-z+1/2'
'-x+1/2,y+1/2,z+1/2'
'-x,y+1/2,-z'
'x,-y+1/2,z'
loop_
_atom_site_label
_atom_site_fract_x
_atom_site_fract_y
_atom_site_fract_z
_atom_site_occupancy
Re1 0.082 0.250 0.206 1
Re2 0.105 0.250 0.920 1
Hg1 0.102 0.250 0.596 1
```

Values from the calculation:
The total moment comes out at 0.0 μB/cell. The calculated volume is 17.4 Å³ per atom. The formation enthalpy at 0 K comes out at 0.70 eV per atom.

***

2.
# K3HfTi

A relaxed structure of K3HfTi (PBE, Alexandria via LeMat-Bulk).

Cell and atoms, written as CIF:
```
data_K3HfTi
_symmetry_space_group_name_H-M 'P m -3 m'
_symmetry_Int_Tables_number 221
_symmetry_space_group_name_Hall '-P 4 2 3'
_cell_length_a 6.400
_cell_length_b 6.400
_cell_length_c 6.400
_cell_angle_alpha 90.00
_cell_angle_beta 90.00
_cell_angle_gamma 90.00
loop_
_atom_site_label
_atom_site_fract_x
_atom_site_fract_y
_atom_site_fract_z
_atom_site_occupancy
K1 0.000 0.000 0.500 1
Hf1 0.500 0.500 0.500 1
Ti1 0.000 0.000 0.000 1
```

Values from the calculation:
The total moment comes out at 4.5 μB/cell. The calculated volume is 52.4 Å³ per atom. The formation enthalpy at 0 K comes out at 1.89 eV per atom.